[1]
This record from Alexandria describes a relaxed NaSr2Sb3Pd4 crystal. The functional is GGA-PBE.

Properties
space-group type = P-4m2 (115)
E = -4.524 eV per atom
total magnetic moment = 0.00 μB per atom

Lattice parameters (Å, degrees): 4.6553 4.6553 10.8956 90.00 90.00 90.00
Fractional coordinates of all 10 atoms:
1 Sb 0.5000 0.0000 0.8727
2 Sb 0.0000 0.5000 0.1273
3 Sb 0.0000 0.0000 0.5000
4 Na 0.5000 0.5000 0.5000
5 Pd 0.0000 0.0000 0.0000
6 Pd 0.5000 0.5000 0.0000
7 Pd 0.5000 0.0000 0.6337
8 Pd 0.0000 0.5000 0.3663
9 Sr 0.5000 0.0000 0.2406
10 Sr 0.0000 0.5000 0.7594

=====

[2]
This record from Alexandria describes a relaxed Na2TaSbPd crystal. The functional is GGA-PBE.

Properties
space-group type = P4/mmm (123)
E = -4.104 eV per atom
total magnetic moment = 0.01 μB per atom

Lattice parameters (Å, degrees): 4.9165 5.0817 4.9165 90.00 90.00 90.00
Fractional coordinates of all 5 atoms:
1 Ta 0.0000 0.5000 0.0000
2 Sb 0.5000 0.5000 0.5000
3 Na 0.5000 0.0000 0.0000
4 Na 0.0000 0.0000 0.5000
5 Pd 0.0000 0.0000 0.0000